Entry 1:
A plane-wave DFT calculation with PBE was carried out for Cu2PdPb2O6 after structural relaxation.

For the formation energy without anion corrections, the calculation gives -6.59 eV/f.u.

The space group is R-3m (No. 166, hexagonal axes) and the conventional cell measures 5.8641, 5.8641 and 15.5811 Å, with angles of 90.00, 90.00 and 120.00 degrees. The distinct sites, in fractional coordinates, are Cu at (0.0000, 0.0000, 0.0925), Pd at (0.0000, 0.0000, 0.5000), Pb at (0.0000, 0.0000, 0.2928) and O at (0.0308, 0.5154, 0.2528).

---

Entry 2:
A plane-wave DFT calculation with PBE was carried out for In2BiBr after structural relaxation.

The energy above the most stable polymorph in this dataset comes out at 61 meV/atom. For the formation energy without anion corrections, the calculation gives -0.64 eV/f.u.

The space group is R-3m (No. 166, hexagonal axes) and the conventional cell measures 4.6809, 4.6809 and 21.4770 Å, with angles of 90.00, 90.00 and 120.00 degrees. The distinct sites, in fractional coordinates, are In at (0.0000, 0.0000, 0.2387), Bi at (0.0000, 0.0000, 0.5000) and Br at (0.0000, 0.0000, 0.0000).

---

Entry 3:
A plane-wave DFT calculation with PBE was carried out for Rb2TiMnP after structural relaxation.

As for the formation energy: 0.804 eV per atom.

The space group is P4/mmm (No. 123) and the conventional cell measures 6.828, 6.828 and 4.420 Å, with angles of 90.00, 90.00 and 90.00 degrees. The distinct sites, in fractional coordinates, are Rb at (0.000, 0.500, 0.000), Ti at (0.000, 0.000, 0.500), Mn at (0.500, 0.500, 0.500) and P at (0.500, 0.500, 0.000).

---

Entry 4:
A plane-wave DFT calculation with PBE was carried out for NaMg2Pb3 after structural relaxation.

As for the formation energy: -0.109 eV per atom.

The space group is P4/mmm (No. 123) and the conventional cell measures 3.677, 3.677 and 12.135 Å, with angles of 90.00, 90.00 and 90.00 degrees. The distinct sites, in fractional coordinates, are Na at (0.000, 0.000, 0.000), Mg at (0.000, 0.000, 0.339), Pb at (0.500, 0.500, 0.189) and Pb at (0.500, 0.500, 0.500).

---

Entry 5:
A plane-wave DFT calculation with PBE was carried out for SrTlPb3 after structural relaxation.

The energy above the most stable polymorph in this dataset comes out at 86 meV/atom. As for the formation energy: 0.099 eV per atom.

The space group is C2/m (No. 12) and the conventional cell measures 11.077, 6.999 and 7.134 Å, with angles of 90.00, 124.79 and 90.00 degrees. The distinct sites, in fractional coordinates, are Sr at (0.000, 0.000, 0.000), Tl at (0.000, 0.500, 0.500), Pb at (0.000, 0.000, 0.500) and Pb at (0.250, 0.250, 0.500).

---

Entry 6:
A plane-wave DFT calculation with PBE was carried out for Tl5In2Cl12 after structural relaxation.

For the formation energy without anion corrections, the calculation gives -18.78 eV/f.u.

The space group is C2/m (No. 12) and the conventional cell measures 17.113, 7.822 and 10.072 Å, with angles of 90.00, 107.21 and 90.00 degrees. The distinct sites, in fractional coordinates, are Tl at (0.000, 0.000, 0.000), Tl at (0.194, 0.500, 0.316), Tl at (0.207, 0.500, 0.875), In at (0.000, 0.250, 0.500), Cl at (0.000, 0.000, 0.326), Cl at (0.002, 0.500, 0.679), Cl at (0.150, 0.259, 0.574) and Cl at (0.157, 0.252, 0.059).

---

Number 1: magnetization 2.02 μB per formula unit. Number 2: magnetization 0.00 μB per formula unit. Number 3: magnetization 1.26 μB per formula unit. Number 4: magnetization 0.00 μB per formula unit. Number 5: magnetization 0.00 μB per formula unit. Number 6: magnetization 0.45 μB per formula unit.